No. 1
The following is a DFT calculation (GGA-PBEsol) of an optimized crystal structure of LaCd2Cu2.

Results
E_form: -180 meV per atom
VASP energy: -3.462 eV/atom
total moment: 0.000 μB/atom
symmetry: No. 139

Lattice parameters (Å, degrees): 4.1208 4.1208 6.6072 108.17 108.17 90.00
With the nearest neighbours (Å) after each atom.
Positions (direct):
La: 0.0000 0.0000 0.0000  8 Cu 3.15
Cu: 0.3996 0.3996 0.7992  1 Cu 2.38
Cu: 0.6004 0.6004 0.2008  1 Cu 2.38
Cd: 0.2500 0.7500 0.5000  4 Cu 2.72, 4 Cd 2.91
Cd: 0.7500 0.2500 0.5000  4 Cu 2.72, 4 Cd 2.91

=====

No. 2
The following is a DFT calculation (GGA-PBEsol) of an optimized crystal structure of La2CdCu.

Results
E_form: -135 meV per atom
VASP energy: -4.191 eV/atom
total moment: 0.002 μB/atom
symmetry: No. 123

Lattice parameters (Å, degrees): 3.7631 5.2734 5.2734 90.00 90.00 90.00
With the nearest neighbours (Å) after each atom.
Positions (direct):
Cd: 0.5000 0.5000 0.5000  8 La 3.24
Cu: 0.5000 0.0000 0.0000  8 La 3.24
La: 0.0000 0.0000 0.5000  4 Cd 3.24, 4 Cu 3.24
La: 0.0000 0.5000 0.0000  4 Cd 3.24, 4 Cu 3.24

=====

No. 3
The following is a DFT calculation (GGA-PBEsol) of an optimized crystal structure of La2CdCu.

Results
E_form: -150 meV per atom
VASP energy: -4.206 eV/atom
total moment: 0.000 μB/atom
symmetry: No. 44

Lattice parameters (Å, degrees): 3.6897 5.0055 6.2124 113.76 107.28 90.00
With the nearest neighbours (Å) after each atom.
Positions (direct):
Cd: 0.4517 0.4517 0.9033  2 Cu 2.67
Cu: 0.7727 0.2727 0.5454  2 Cd 2.67
La: 0.0429 0.0429 0.0858  2 Cu 3.08, 2 La 3.23, 4 Cd 3.26
La: 0.2327 0.7327 0.4654  4 Cu 3.14, 2 La 3.23, 2 Cd 3.44

=====

No. 4
The following is a DFT calculation (GGA-PBEsol) of an optimized crystal structure of La2CdCu.

Results
E_form: -159 meV per atom
VASP energy: -4.215 eV/atom
total moment: 0.000 μB/atom
symmetry: No. 25

Lattice parameters (Å, degrees): 3.6957 4.9384 5.4794 90.00 89.99 90.00
With the nearest neighbours (Å) after each atom.
Positions (direct):
Cd: 0.3751 0.0000 0.4596  2 Cu 3.06, 6 La 3.17
Cu: 0.3747 0.5000 0.7889  2 Cd 3.06, 6 La 3.15-3.18
La: 0.8750 0.0000 0.9286  4 Cd 3.17-3.45, 4 Cu 3.18, 2 La 3.28
La: 0.8753 0.5000 0.3229  4 Cu 3.15-3.46, 4 Cd 3.17, 2 La 3.28